--- P ---
This record from the Alexandria database describes TiSb2TeAu after structural relaxation. The functional is GGA-PBE.

```
data_TiSb2TeAu
_cell_length_a 5.320
_cell_length_b 5.320
_cell_length_c 5.496
_cell_angle_alpha 90.00
_cell_angle_beta 90.00
_cell_angle_gamma 90.00
_space_group_name_H-M_alt 'P 4/m m m'
_space_group_IT_number 123
_space_group_name_Hall '-P 4 2'
loop_
_atom_site_label
_atom_site_fract_x
_atom_site_fract_y
_atom_site_fract_z
Ti1 0.000 0.000 0.000
Sb1 0.000 0.500 0.500
Te1 0.500 0.500 0.000
Au1 0.500 0.500 0.500
```

=====

--- Q ---
This record from the Alexandria database describes TiSb2TeAu after structural relaxation. The functional is GGA-PBE.

```
data_TiSb2TeAu
_cell_length_a 5.251
_cell_length_b 5.251
_cell_length_c 5.190
_cell_angle_alpha 90.00
_cell_angle_beta 90.00
_cell_angle_gamma 90.00
_space_group_name_H-M_alt 'P 4/m m m'
_space_group_IT_number 123
_space_group_name_Hall '-P 4 2'
loop_
_atom_site_label
_atom_site_fract_x
_atom_site_fract_y
_atom_site_fract_z
Ti1 0.000 0.000 0.000
Sb1 0.000 0.500 0.000
Te1 0.000 0.000 0.500
Au1 0.500 0.500 0.500
```

=====

Which is the most stable structure? Q is the most stable.